# Pr8SbTe4Se3

Crystalline Pr8SbTe4Se3 at its relaxed geometry (PBE-GGA, Alexandria via LeMat-Bulk).

abc: 8.9419 8.9419 8.9419
angles: 59.21 59.21 59.21
Sites, in units of the cell vectors:
Pr1 0.2313 0.7470 0.7470
Pr2 0.2395 0.2395 0.2395
Pr3 0.2530 0.2530 0.7687
Pr4 0.2530 0.7687 0.2530
Pr5 0.7470 0.2313 0.7470
Pr6 0.7470 0.7470 0.2313
Pr7 0.7605 0.7605 0.7605
Pr8 0.7687 0.2530 0.2530
Sb1 0.5000 0.5000 0.5000
Te1 0.0000 0.0000 0.0000
Te2 0.0000 0.5000 0.5000
Te3 0.5000 0.0000 0.5000
Te4 0.5000 0.5000 0.0000
Se1 0.0000 0.0000 0.5000
Se2 0.0000 0.5000 0.0000
Se3 0.5000 0.0000 0.0000

Results
uncorrected formation energy = -1.574 eV per atom
total DFT energy (no corrections) = -5.6605 eV/atom